1.
This record from Alexandria via LeMat-Bulk describes a PBEsol-optimized structure of KMgTc2. The functional is SCAN.

Unit cell a=3.784 b=3.784 c=5.652 alpha=109.56 beta=109.56 gamma=90.00
Atoms (fractional coordinates):
K (0.500, 0.500, 0.000)
Mg (0.000, 0.000, 0.000)
Tc (0.750, 0.250, 0.500)
Tc (0.250, 0.750, 0.500)

Summary:
* energy: -0.7195 hartree per atom
* space group: No. 139

---

2.
This record from Alexandria via LeMat-Bulk describes a PBEsol-optimized structure of KMgTe2. The functional is SCAN.

Unit cell a=6.614 b=6.614 c=9.232 alpha=110.99 beta=110.99 gamma=90.00
Atoms (fractional coordinates):
K (0.250, 0.750, 0.500)
K (0.000, 0.000, 0.000)
Te (0.491, 0.875, 0.250)
Te (0.759, 0.375, 0.250)
Te (0.125, 0.241, 0.750)
Te (0.625, 0.509, 0.750)
Mg (0.750, 0.250, 0.500)
Mg (0.500, 0.500, 0.000)

Summary:
* energy: -0.8330 hartree per atom
* space group: No. 122
* energy relative to the elements, uncorrected: -2.9 eV per formula unit

---

3.
This record from Alexandria via LeMat-Bulk describes a PBEsol-optimized structure of KMgTe. The functional is SCAN.

Unit cell a=4.550 b=4.550 c=6.360 alpha=90.00 beta=90.00 gamma=120.00
Atoms (fractional coordinates):
K (0.000, 0.000, 0.029)
Te (0.667, 0.333, 0.401)
Mg (0.333, 0.667, 0.570)

Summary:
* energy: -0.6440 hartree per atom
* space group: No. 156
* energy relative to the elements, uncorrected: -2.0 eV per formula unit

---

4.
This record from Alexandria via LeMat-Bulk describes a PBEsol-optimized structure of K2MgTe. The functional is SCAN.

Unit cell a=4.261 b=5.613 c=7.409 alpha=112.26 beta=106.71 gamma=90.00
Atoms (fractional coordinates):
K (0.949, 0.949, 0.898)
K (0.766, 0.266, 0.531)
Mg (0.566, 0.566, 0.131)
Te (0.220, 0.720, 0.440)

Summary:
* energy: -0.5621 hartree per atom
* space group: No. 44
* energy relative to the elements, uncorrected: -2.3 eV per formula unit

---

Number 1: total magnetic moment 0.000 μB per cell, N(E_F) 0.57 states/eV per atom. Number 2: total magnetic moment 2.047 μB per cell, N(E_F) 0.16 states/eV per atom. Number 3: total magnetic moment 0.961 μB per cell, N(E_F) 0.17 states/eV per atom. Number 4: total magnetic moment 0.000 μB per cell, N(E_F) 0.02 states/eV per atom.